# Na5HgPd

Na5HgPd after structural relaxation (PBE-GGA, the Alexandria database).

Cell: 6.0768 8.0231 9.2079 Å, 115.83 107.76 90.00°
Fractional coordinates of all 14 atoms:
1 Na 0.4292 0.7853 0.8408
2 Na 0.3946 0.8920 0.2838
3 Na 0.9292 0.5555 0.8408
4 Na 0.7500 0.6421 0.5000
5 Na 0.1054 0.1082 0.7162
6 Na 0.8946 0.8918 0.2838
7 Na 0.2500 0.3579 0.5000
8 Na 0.0708 0.4445 0.1592
9 Na 0.6054 0.1080 0.7162
10 Na 0.5708 0.2147 0.1592
11 Hg 0.0000 0.0000 0.0000
12 Hg 0.5000 0.5000 0.0000
13 Pd 0.7500 0.2465 0.5000
14 Pd 0.2500 0.7535 0.5000

total moment	0.00	μB per cell
space-group type	C2/c, No. 15
calculated formation energy	-0.09	eV per atom